Density functional theory data (PBE) for a geometry-optimized Th2ScBi3 structure.

abc: 4.5223 4.5223 10.0469
angles: 103.01 103.01 90.00
Last column: nearest neighbours and their distance in Å.
Fractional positions:
1 Sc 0.0000 0.0000 0.0000  6 Bi 2.99-3.20
2 Th 0.3294 0.3294 0.6587  6 Bi 3.21-3.29
3 Th 0.6706 0.6706 0.3413  6 Bi 3.21-3.29
4 Bi 0.1568 0.1568 0.3136  1 Sc 2.99, 5 Th 3.21-3.29
5 Bi 0.5000 0.5000 0.0000  4 Sc 3.20, 2 Th 3.25
6 Bi 0.8432 0.8432 0.6864  1 Sc 2.99, 5 Th 3.21-3.29

Summary:
ΔE to the lowest computed polymorph   0.011 eV per atom
Symmetry   I4/mmm, No. 139

---

Density functional theory data (PBE) for a geometry-optimized PuTaAl structure.

abc: 2.8702 4.8981 4.8981
angles: 120.00 90.00 90.00
Last column: nearest neighbours and their distance in Å.
Fractional positions:
1 Al 0.5005 0.6667 0.3333  3 Ta 2.83, 2 Al 2.87
2 Ta 0.4995 0.3333 0.6667  3 Al 2.83, 2 Ta 2.87
3 Pu 0.0001 0.0000 0.0000  2 Pu 2.87, 6 Ta 3.17, 6 Al 3.17

Summary:
ΔE to the lowest computed polymorph   0.116 eV per atom
Symmetry   P-6m2, No. 187

---

no.,calculated formation energy (meV per atom)
1,-561
2,151